# LiAc2MnTe5, optimized geometry, DFT GGA-PBE
data_LiAc2MnTe5
_cell_length_a 4.607
_cell_length_b 10.010
_cell_length_c 12.453
_cell_angle_alpha 90.00
_cell_angle_beta 90.00
_cell_angle_gamma 103.30
_symmetry_space_group_name_H-M 'P 1'
_symmetry_Int_Tables_number 1
_symmetry_space_group_name_Hall 'P 1'
loop_
_atom_site_label
_atom_site_type_symbol
_atom_site_fract_x
_atom_site_fract_y
_atom_site_fract_z
_atom_site_occupancy
Te1 Te 0.689 0.378 0.151 1
Te2 Te 0.966 0.931 0.552 1
Ac1 Ac 0.127 0.253 0.687 1
Ac2 Ac 0.110 0.220 0.309 1
Ac3 Ac 0.890 0.780 0.809 1
Te3 Te 0.293 0.587 0.343 1
Te4 Te 0.707 0.413 0.843 1
Mn1 Mn 0.403 0.806 0.483 1
Te5 Te 0.034 0.069 0.052 1
Li1 Li 0.788 0.577 0.503 1
Te6 Te 0.647 0.293 0.498 1
Li2 Li 0.212 0.423 0.003 1
Te7 Te 0.480 0.961 0.298 1
Mn2 Mn 0.597 0.194 0.983 1
Te8 Te 0.353 0.707 0.998 1
Ac4 Ac 0.873 0.747 0.187 1
Te9 Te 0.311 0.622 0.651 1
Te10 Te 0.520 0.039 0.798 1
# - Energy relative to the elements, uncorrected: -1.12 eV/atom
# - Symmetry: Cmc2_1, No. 36

***

# LiCa2W, optimized geometry, DFT GGA-PBE
data_LiCa2W
_cell_length_a 5.276
_cell_length_b 5.276
_cell_length_c 6.546
_cell_angle_alpha 84.63
_cell_angle_beta 84.63
_cell_angle_gamma 32.62
_symmetry_space_group_name_H-M 'P 1'
_symmetry_Int_Tables_number 1
_symmetry_space_group_name_Hall 'P 1'
loop_
_atom_site_label
_atom_site_type_symbol
_atom_site_fract_x
_atom_site_fract_y
_atom_site_fract_z
_atom_site_occupancy
Ca1 Ca 0.992 0.992 0.019 1
W1 W 0.250 0.250 0.250 1
Ca2 Ca 0.508 0.508 0.481 1
Li1 Li 0.750 0.750 0.750 1
# - ΔH_f (0 K): 83.9 kJ per mole of atoms
# - Symmetry: C2/m, No. 12

***

no.,magnetization (μB per cell)
1,7.99
2,0.66